VASP calculation (PBE with a Hubbard U) on a geometry-optimized LiCoIrO4 structure.

Uncorrected energy: -6.1933 eV/atom
Calculated volume: 74.09 Å³/f.u.

Unit cell a=5.743 b=5.928 c=6.212 alpha=121.60 beta=90.00 gamma=118.97
Site moments in Bohr magnetons follow the coordinates.
Positions (direct):
Li 0.869 0.737 0.119  0.00
Li 0.131 0.263 0.881  0.00
Co 0.500 0.500 0.500  -0.01
Co 0.000 0.500 0.500  -0.01
Ir 0.500 0.000 0.500  0.49
Ir 0.500 0.000 0.000  0.49
O 0.741 0.482 0.704  0.05
O 0.289 0.030 0.265  0.06
O 0.741 0.030 0.265  0.06
O 0.741 0.482 0.279  0.05
O 0.259 0.518 0.721  0.05
O 0.711 0.970 0.735  0.06
O 0.259 0.970 0.735  0.06
O 0.259 0.518 0.296  0.05